Entry 1:
Material: Al3V3Cr2
Method: DFT, PBE
State: optimized geometry

Cell lengths 6.6636, 6.6636, 2.9456 Å; angles 90.00, 90.00, 120.00 degrees
Space group P-62m (No. 189)
One atom of each set of equivalent atoms:
Al  0.0000  0.2342  0.0000
V  0.0000  0.5773  0.5000
Cr  0.3333  0.6667  0.0000

Values from the calculation:
- N(E_F) (states/eV per cell) = 5.512
- crystal system = hexagonal
- raw total energy (eV for the cell shown) = -58.17

Entry 2:
Material: CaPr4Nd4
Method: DFT, PBE
State: optimized geometry

Cell lengths 11.1231, 11.1231, 5.2709 Å; angles 90.00, 90.00, 90.00 degrees
Space group I4/mmm (No. 139)
One atom of each set of equivalent atoms:
Ca  0.0000  0.0000  0.0000
Pr  0.1715  0.1715  0.5000
Nd  0.0000  0.3368  0.0000

Values from the calculation:
- N(E_F) (states/eV per cell) = 28.864
- crystal system = tetragonal
- raw total energy (eV for the cell shown) = -79.89

Entry 3:
Material: Sm8ZnRh3I4
Method: DFT, PBE
State: optimized geometry

Cell lengths 8.3724, 8.3724, 24.0403 Å; angles 90.00, 90.00, 120.00 degrees
Space group R-3m (No. 166, hexagonal axes)
One atom of each set of equivalent atoms:
Sm  0.0000  0.0000  0.2295
Sm  0.0136  0.5068  0.7715
Zn  0.0000  0.0000  0.5000
Rh  0.0000  0.5000  0.5000
I  0.0000  0.0000  0.0000
I  0.0000  0.5000  0.0000

Values from the calculation:
- N(E_F) (states/eV per cell) = 34.295
- E_form (uncorrected) (meV per atom) = -828
- crystal system = trigonal
- raw total energy (eV for the cell shown) = -241.57

Entry 4:
Material: KTiPt2
Method: DFT, PBE
State: optimized geometry

Cell lengths 6.6943, 6.6943, 6.6943 Å; angles 90.00, 90.00, 90.00 degrees
Space group Fm-3m (No. 225)
One atom of each set of equivalent atoms:
K  0.0000  0.0000  0.0000
Ti  0.0000  0.0000  0.5000
Pt  0.2500  0.2500  0.2500

Values from the calculation:
- N(E_F) (states/eV per cell) = 15.727
- crystal system = cubic
- raw total energy (eV for the cell shown) = -82.59
- E above lowest polymorph (eV/atom) = 0.0977

Entry 5:
Material: Ac2InSn9
Method: DFT, PBE
State: optimized geometry

Cell lengths 4.9043, 4.9043, 14.5212 Å; angles 90.00, 90.00, 90.00 degrees
Space group P4/mmm (No. 123)
One atom of each set of equivalent atoms:
Ac  0.0000  0.0000  0.1657
In  0.0000  0.0000  0.5000
Sn  0.0000  0.5000  0.0000
Sn  0.0000  0.5000  0.3439
Sn  0.5000  0.5000  0.1737
Sn  0.5000  0.5000  0.5000

Values from the calculation:
- N(E_F) (states/eV per cell) = 4.443
- crystal system = tetragonal
- raw total energy (eV for the cell shown) = -50.64

Entry 6:
Material: BaTa2Au
Method: DFT, PBE
State: optimized geometry

Cell lengths 4.2557, 4.2655, 10.0153 Å; angles 90.00, 90.00, 90.00 degrees
Space group Cmmm (No. 65)
One atom of each set of equivalent atoms:
Ba  0.0000  0.0000  0.0000
Ta  0.0000  0.5000  0.3003
Au  0.0000  0.0000  0.5000

Values from the calculation:
- N(E_F) (states/eV per cell) = 12.654
- crystal system = orthorhombic
- raw total energy (eV for the cell shown) = -51.88
- E above lowest polymorph (eV/atom) = 0.4397

Entry 7:
Material: Pr8Tm6Pb
Method: DFT, PBE
State: optimized geometry

Cell lengths 9.3725, 9.3725, 6.5981 Å; angles 90.00, 90.00, 120.00 degrees
Space group P-3 (No. 147)
One atom of each set of equivalent atoms:
Pr  0.0434  0.2768  0.3229
Pr  0.3333  0.6667  0.3575
Tm  0.1014  0.4497  0.8393
Pb  0.0000  0.0000  0.0000

Values from the calculation:
- N(E_F) (states/eV per cell) = 20.988
- crystal system = trigonal
- raw total energy (eV for the cell shown) = -67.70

Entry 8:
Material: Pm2Nd4Er
Method: DFT, PBE
State: optimized geometry

Cell lengths 7.1864, 8.7610, 9.0479 Å; angles 114.12, 101.48, 101.83 degrees
Space group P1 (No. 1)
One atom of each set of equivalent atoms:
Pm  0.0000  0.0000  0.0000
Pm  0.1149  0.5905  0.8643
Pm  0.3246  0.7119  0.5758
Pm  0.5285  0.8290  0.2772
Nd  0.0267  0.8275  0.2774
Nd  0.1449  0.4257  0.1462
Nd  0.2248  0.1588  0.7331
Nd  0.4242  0.2733  0.4170
Nd  0.5011  0.9999  0.0004
Nd  0.7226  0.1584  0.7328
Nd  0.8198  0.7096  0.5724
Nd  0.9218  0.2738  0.4143
Er  0.6166  0.5932  0.8672
Er  0.6423  0.4245  0.1431

Values from the calculation:
- N(E_F) (states/eV per cell) = 20.299
- crystal system = triclinic
- raw total energy (eV for the cell shown) = -65.71
- E above lowest polymorph (eV/atom) = 0.0000